w:
A plane-wave DFT calculation with PBE was carried out for a relaxed NbAlP2Cl crystal.

Cell lengths 4.635, 4.635, 4.549 Å; angles 90.00, 90.00, 90.00 degrees
Site moments in Bohr magnetons follow the coordinates.
Fractional coordinates of all 5 atoms:
P1 0.000 0.500 0.000  -0.12
P2 0.500 0.000 0.000  -0.12
Nb1 0.500 0.500 0.500  1.95
Al1 0.000 0.000 0.000  0.02
Cl1 0.000 0.000 0.500  -0.06

Values from the calculation:
Space group: P4/mmm, No. 123
Calculated volume (Å³ per atom): 19.544

x:
A plane-wave DFT calculation with PBE was carried out for a relaxed NbAlP2Cl crystal.

Cell lengths 4.841, 4.841, 5.014 Å; angles 90.00, 90.00, 90.00 degrees
Fractional coordinates of all 5 atoms:
P1 0.000 0.500 0.000
P2 0.500 0.000 0.000
Nb1 0.000 0.000 0.000
Al1 0.500 0.500 0.500
Cl1 0.000 0.000 0.500

Values from the calculation:
Space group: P4/mmm, No. 123
Calculated volume (Å³ per atom): 23.500

Calculated relative energies: w 402; x 0, given in meV per atom